# 1
This record from Alexandria describes a geometry-optimized ScTi structure. The functional is PBE-GGA.

Cell lengths 7.7524, 7.7524, 7.7524 Å; angles 92.04, 92.04, 158.25 degrees
With the nearest neighbours (Å) after each atom.
Atoms (fractional coordinates):
Sc 0.1050 0.3396 0.4446  4 Ti 2.81-3.06, 2 Sc 2.93
Sc 0.3396 0.8950 0.2346  4 Ti 2.81-3.06, 2 Sc 2.93
Sc 0.6604 0.1050 0.7654  4 Ti 2.81-3.06, 2 Sc 2.93
Sc 0.8950 0.6604 0.5554  4 Ti 2.81-3.06, 2 Sc 2.93
Ti 0.0818 0.8420 0.9238  4 Ti 2.71-2.93, 2 Sc 2.81-2.83
Ti 0.1580 0.0818 0.2397  4 Ti 2.71-2.93, 2 Sc 2.81-2.83
Ti 0.8420 0.9182 0.7603  4 Ti 2.71-2.93, 2 Sc 2.81-2.83
Ti 0.9182 0.1580 0.0762  4 Ti 2.71-2.93, 2 Sc 2.81-2.83

Crystal system   tetragonal
Space group   I4/m (87)
Formation energy from the elements   0.377 eV per atom

# 2
This record from Alexandria describes a geometry-optimized YSc3Cl structure. The functional is PBE-GGA.

Cell lengths 4.9600, 4.9600, 4.9600 Å; angles 90.00, 90.00, 90.00 degrees
With the nearest neighbours (Å) after each atom.
Atoms (fractional coordinates):
Y 0.0000 0.0000 0.0000  12 Sc 3.51
Sc 0.0000 0.5000 0.5000  2 Cl 2.48
Sc 0.5000 0.0000 0.5000  2 Cl 2.48
Sc 0.5000 0.5000 0.0000  2 Cl 2.48
Cl 0.5000 0.5000 0.5000  6 Sc 2.48

Crystal system   cubic
Space group   Pm-3m (221)
Formation energy without anion corrections   -1.91 eV/f.u.

# 3
This record from Alexandria describes a geometry-optimized BaLi2SmCl8 structure. The functional is PBE-GGA.

Cell lengths 6.6771, 6.6771, 8.8698 Å; angles 90.00, 90.00, 120.00 degrees
With the nearest neighbours (Å) after each atom.
Atoms (fractional coordinates):
Ba 0.0000 0.0000 0.0000  6 Cl 3.37
Li 0.3333 0.6667 0.7421  4 Cl 2.34-2.35
Li 0.6667 0.3333 0.2579  4 Cl 2.34-2.35
Sm 0.0000 0.0000 0.5000  6 Cl 2.70
Cl 0.0002 0.3078 0.6983  1 Li 2.35
Cl 0.9998 0.6922 0.3017  1 Li 2.35
Cl 0.3076 0.9998 0.6983  1 Li 2.35
Cl 0.3078 0.3076 0.3017  1 Li 2.35
Cl 0.3333 0.6667 0.0059  1 Li 2.34
Cl 0.6667 0.3333 0.9941  1 Li 2.34
Cl 0.6924 0.0002 0.3017  1 Li 2.35
Cl 0.6922 0.6924 0.6983  1 Li 2.35

Crystal system   trigonal
Space group   P-3 (147)
Formation energy without anion corrections   -22.06 eV/f.u.

# 4
This record from Alexandria describes a geometry-optimized TiMn2V2 structure. The functional is PBE-GGA.

Cell lengths 10.2748, 10.2748, 10.2748 Å; angles 158.85, 158.85, 30.08 degrees
With the nearest neighbours (Å) after each atom.
Atoms (fractional coordinates):
Ti 0.1255 0.1255 0.0000  8 Mn 2.88-3.11, 8 V 2.90-3.12
Ti 0.8745 0.8745 0.0000  8 Mn 2.88-3.11, 8 V 2.90-3.12
Mn 0.2500 0.7500 0.5000  4 V 2.30
Mn 0.4296 0.4296 0.0000  5 V 2.25-2.35
Mn 0.5704 0.5704 0.0000  5 V 2.25-2.35
Mn 0.7500 0.2500 0.5000  4 V 2.30
V 0.0000 0.5000 0.5000  4 Mn 2.35
V 0.3164 0.3164 0.0000  5 Mn 2.25-2.30
V 0.5000 0.0000 0.5000  4 Mn 2.35
V 0.6836 0.6836 0.0000  5 Mn 2.25-2.30

Crystal system   tetragonal
Space group   I4/mmm (139)
Formation energy from the elements   0.269 eV per atom

# 5
This record from Alexandria describes a geometry-optimized ReMo2N structure. The functional is PBE-GGA.

Cell lengths 5.8996, 5.8996, 5.8996 Å; angles 125.52, 125.52, 80.67 degrees
With the nearest neighbours (Å) after each atom.
Atoms (fractional coordinates):
Re 0.0000 0.0000 0.0000  4 Mo 2.51
Re 0.7500 0.2500 0.5000  4 Mo 2.51
Mo 0.2064 0.6250 0.0814  2 N 1.98
Mo 0.3750 0.4564 0.5814  2 N 1.98
Mo 0.5436 0.1250 0.9186  2 N 1.98
Mo 0.8750 0.7936 0.4186  2 N 1.98
N 0.2500 0.7500 0.5000  4 Mo 1.98
N 0.5000 0.5000 0.0000  4 Mo 1.98

Crystal system   tetragonal
Space group   I-42d (122)
Formation energy without anion corrections   1.94 eV/f.u.

# 6
This record from Alexandria describes a geometry-optimized RhW2Au structure. The functional is PBE-GGA.

Cell lengths 2.7804, 2.7804, 8.3176 Å; angles 90.00, 90.00, 90.00 degrees
With the nearest neighbours (Å) after each atom.
Atoms (fractional coordinates):
Rh 0.0000 0.0000 0.0000  4 W 2.67, 4 Rh 2.78, 4 Au 2.96
W 0.0000 0.0000 0.4785  8 W 2.78-2.93, 4 Au 2.90
W 0.5000 0.5000 0.2169  4 Rh 2.67, 8 W 2.78-2.93
Au 0.5000 0.5000 0.7344  4 Au 2.78, 4 W 2.90, 4 Rh 2.96

Crystal system   tetragonal
Space group   P4mm (99)
Formation energy from the elements   0.111 eV per atom

# 7
This record from Alexandria describes a geometry-optimized CdH2Pt structure. The functional is PBE-GGA.

Cell lengths 4.7527, 4.7527, 4.7527 Å; angles 45.08, 45.08, 45.08 degrees
With the nearest neighbours (Å) after each atom.
Atoms (fractional coordinates):
Cd 0.0000 0.0000 0.0000  6 H 2.16
H 0.3717 0.3717 0.3717  1 Pt 1.64
H 0.6283 0.6283 0.6283  1 Pt 1.64
Pt 0.5000 0.5000 0.5000  2 H 1.64

Crystal system   trigonal
Space group   R-3m (166)
Uncorrected energy   -3.29 eV per atom

# 8
This record from Alexandria describes a geometry-optimized ZrVRh2 structure. The functional is PBE-GGA.

Cell lengths 4.1984, 4.1984, 3.6407 Å; angles 90.00, 90.00, 90.00 degrees
With the nearest neighbours (Å) after each atom.
Atoms (fractional coordinates):
Zr 0.0000 0.0000 0.0000  8 Rh 2.78, 4 V 2.97
V 0.5000 0.5000 0.0000  8 Rh 2.78, 4 Zr 2.97
Rh 0.0000 0.5000 0.5000  4 Zr 2.78, 4 V 2.78, 4 Rh 2.97
Rh 0.5000 0.0000 0.5000  4 Zr 2.78, 4 V 2.78, 4 Rh 2.97

Crystal system   tetragonal
Space group   P4/mmm (123)
Formation energy from the elements   -0.488 eV per atom

# 9
This record from Alexandria describes a geometry-optimized AcH3Pd structure. The functional is PBE-GGA.

Cell lengths 3.9471, 3.9471, 3.9471 Å; angles 90.00, 90.00, 90.00 degrees
With the nearest neighbours (Å) after each atom.
Atoms (fractional coordinates):
Ac 0.0000 0.0000 0.0000  12 H 2.79
H 0.0000 0.5000 0.5000  2 Pd 1.97
H 0.5000 0.0000 0.5000  2 Pd 1.97
H 0.5000 0.5000 0.0000  2 Pd 1.97
Pd 0.5000 0.5000 0.5000  6 H 1.97

Crystal system   cubic
Space group   Pm-3m (221)
Uncorrected energy   -4.34 eV per atom

# 10
This record from Alexandria describes a geometry-optimized Ce4PuPa3P8 structure. The functional is PBE-GGA.

Cell lengths 8.0630, 8.0630, 8.0630 Å; angles 59.83, 59.83, 59.83 degrees
With the nearest neighbours (Å) after each atom.
Atoms (fractional coordinates):
Ce 0.0000 0.0000 0.0000  6 P 2.87
Ce 0.0000 0.5000 0.5000  6 P 2.88-2.89
Ce 0.5000 0.0000 0.5000  6 P 2.88-2.89
Ce 0.5000 0.5000 0.0000  6 P 2.88-2.89
Pu 0.5000 0.5000 0.5000  6 P 2.83
Pa 0.0000 0.0000 0.5000  6 P 2.81
Pa 0.0000 0.5000 0.0000  6 P 2.81
Pa 0.5000 0.0000 0.0000  6 P 2.81
P 0.2449 0.7482 0.7482  2 Pa 2.81, 1 Pu 2.83, 3 Ce 2.87-2.89
P 0.2469 0.2469 0.2469  3 Pa 2.81, 3 Ce 2.88
P 0.2518 0.2518 0.7551  2 Pa 2.81, 1 Pu 2.83, 3 Ce 2.87-2.89
P 0.2518 0.7551 0.2518  2 Pa 2.81, 1 Pu 2.83, 3 Ce 2.87-2.89
P 0.7482 0.2449 0.7482  2 Pa 2.81, 1 Pu 2.83, 3 Ce 2.87-2.89
P 0.7482 0.7482 0.2449  2 Pa 2.81, 1 Pu 2.83, 3 Ce 2.87-2.89
P 0.7531 0.7531 0.7531  3 Pa 2.81, 3 Ce 2.88
P 0.7551 0.2518 0.2518  2 Pa 2.81, 1 Pu 2.83, 3 Ce 2.87-2.89

Crystal system   trigonal
Space group   R-3m (166)
Formation energy from the elements   -1.399 eV per atom

# 11
This record from Alexandria describes a geometry-optimized AsPAu2 structure. The functional is PBE-GGA.

Cell lengths 7.0259, 7.0259, 7.0259 Å; angles 132.26, 132.26, 69.81 degrees
With the nearest neighbours (Å) after each atom.
Atoms (fractional coordinates):
As 0.0000 0.0000 0.0000  4 Au 2.56
As 0.7500 0.2500 0.5000  4 Au 2.56
P 0.2500 0.7500 0.5000  4 Au 2.39
P 0.5000 0.5000 0.0000  4 Au 2.39
Au 0.1502 0.6250 0.0252  2 P 2.39, 2 As 2.56
Au 0.3750 0.4002 0.5252  2 P 2.39, 2 As 2.56
Au 0.5998 0.1250 0.9748  2 P 2.39, 2 As 2.56
Au 0.8750 0.8498 0.4748  2 P 2.39, 2 As 2.56

Crystal system   tetragonal
Space group   I-42d (122)
Formation energy from the elements   0.249 eV per atom

# 12
This record from Alexandria describes a geometry-optimized Na3LiNp3N8 structure. The functional is PBE-GGA.

Cell lengths 6.8063, 6.8063, 6.8063 Å; angles 59.80, 59.80, 59.80 degrees
With the nearest neighbours (Å) after each atom.
Atoms (fractional coordinates):
Na 0.0000 0.5000 0.5000  6 N 2.59-2.77
Na 0.5000 0.0000 0.5000  6 N 2.59-2.77
Na 0.5000 0.5000 0.0000  6 N 2.59-2.77
Li 0.5000 0.5000 0.5000  6 N 2.36
Np 0.0000 0.0000 0.5000  6 N 2.09-2.24
Np 0.0000 0.5000 0.0000  6 N 2.09-2.24
Np 0.5000 0.0000 0.0000  6 N 2.09-2.24
N 0.1883 0.7403 0.7403  2 Np 2.09
N 0.2321 0.2321 0.2321  3 Np 2.24
N 0.2597 0.2597 0.8117  2 Np 2.09
N 0.2597 0.8117 0.2597  2 Np 2.09
N 0.7403 0.1883 0.7403  2 Np 2.09
N 0.7403 0.7403 0.1883  2 Np 2.09
N 0.7679 0.7679 0.7679  3 Np 2.24
N 0.8117 0.2597 0.2597  2 Np 2.09

Crystal system   trigonal
Space group   R-3m (166)
Formation energy without anion corrections   -9.14 eV/f.u.